Compound: BeAlPb
Source: Alexandria
Functional: PBE-GGA
Structure: relaxed

Summary:
- Relative energy among the computed polymorphs: 0 meV per atom
- SG: C2/m

Cell: 3.6271 3.6158 10.6067 Å, 97.02 90.01 120.10°
Closest atoms and distances in Å follow each position.
Atoms (fractional coordinates):
Pb (0.7762, 0.0523, 0.8576)  3 Al 3.09-3.24
Pb (0.2238, 0.9477, 0.1424)  3 Al 3.09-3.24
Be (0.3329, 0.1659, 0.4957)  3 Be 2.08-2.10
Be (0.6671, 0.8341, 0.5043)  3 Be 2.08-2.10
Al (0.0314, 0.5628, 0.6281)  6 Be 2.46-2.51, 1 Al 2.69
Al (0.9686, 0.4372, 0.3719)  6 Be 2.46-2.51, 1 Al 2.69



Compound: BeAlPb
Source: Alexandria
Functional: PBE-GGA
Structure: relaxed

Summary:
- Relative energy among the computed polymorphs: 6 meV per atom
- SG: P-3m1

Cell: 3.6104 3.6104 10.5759 Å, 90.00 90.00 120.00°
Closest atoms and distances in Å follow each position.
Atoms (fractional coordinates):
Pb (0.3333, 0.6667, 0.1402)  3 Al 3.21
Pb (0.6667, 0.3333, 0.8598)  3 Al 3.21
Be (0.3333, 0.6667, 0.4966)  3 Be 2.09
Be (0.6667, 0.3333, 0.5034)  3 Be 2.09
Al (0.0000, 0.0000, 0.6292)  6 Be 2.47-2.51, 1 Al 2.73
Al (0.0000, 0.0000, 0.3708)  6 Be 2.47-2.51, 1 Al 2.73



Compound: BeAl2Pb2
Source: Alexandria
Functional: PBE-GGA
Structure: relaxed

Summary:
- Relative energy among the computed polymorphs: 245 meV per atom
- SG: P4/mbm

Cell: 7.4193 7.4193 4.4007 Å, 90.00 90.00 90.00°
Closest atoms and distances in Å follow each position.
Atoms (fractional coordinates):
Pb (0.3209, 0.8209, 0.0000)  2 Be 2.73, 2 Al 2.99
Pb (0.8209, 0.6791, 0.0000)  2 Be 2.73, 2 Al 2.99
Pb (0.6791, 0.1791, 0.0000)  2 Be 2.73, 2 Al 2.99
Pb (0.1791, 0.3209, 0.0000)  2 Be 2.73, 2 Al 2.99
Be (0.0000, 0.0000, 0.0000)  4 Pb 2.73
Be (0.5000, 0.5000, 0.0000)  4 Pb 2.73
Al (0.1285, 0.6285, 0.5000)  1 Al 2.70, 2 Pb 2.99
Al (0.6285, 0.8715, 0.5000)  1 Al 2.70, 2 Pb 2.99
Al (0.8715, 0.3715, 0.5000)  1 Al 2.70, 2 Pb 2.99
Al (0.3715, 0.1285, 0.5000)  1 Al 2.70, 2 Pb 2.99



Compound: Be2AlPb
Source: Alexandria
Functional: PBE-GGA
Structure: relaxed

Summary:
- Relative energy among the computed polymorphs: 393 meV per atom
- SG: R-3m

Cell: 7.8885 7.8885 7.8885 Å, 23.57 23.57 23.57°
Closest atoms and distances in Å follow each position.
Atoms (fractional coordinates):
Pb (0.2500, 0.2500, 0.2500)  6 Be 2.78
Be (0.0066, 0.0066, 0.0066)  3 Al 2.56, 3 Pb 2.78
Be (0.4934, 0.4934, 0.4934)  3 Al 2.56, 3 Pb 2.78
Al (0.7500, 0.7500, 0.7500)  6 Be 2.56



Compound: Be2AlPtPb
Source: Alexandria
Functional: PBE-GGA
Structure: relaxed

Summary:
- DFT total energy: -3.07 eV per atom
- SG: P4/mmm

Cell: 4.4424 5.4922 4.4424 Å, 90.00 90.00 90.00°
Closest atoms and distances in Å follow each position.
Atoms (fractional coordinates):
Pb (0.0000, 0.0000, 0.0000)  4 Be 2.22
Be (0.0000, 0.0000, 0.5000)  2 Pb 2.22
Be (0.5000, 0.0000, 0.0000)  2 Pb 2.22
Al (0.5000, 0.5000, 0.5000)  4 Pt 3.14
Pt (0.0000, 0.5000, 0.0000)  2 Pb 2.75



Compound: BeAlRe2Pb
Source: Alexandria
Functional: PBE-GGA
Structure: relaxed

Summary:
- DFT total energy: -5.13 eV per atom
- SG: P4/mmm

Cell: 4.5780 5.1098 4.5780 Å, 90.00 90.00 90.00°
Closest atoms and distances in Å follow each position.
Atoms (fractional coordinates):
Pb (0.0000, 0.5000, 0.0000)  2 Al 2.55
Re (0.0000, 0.0000, 0.5000)  2 Al 2.29
Re (0.5000, 0.0000, 0.0000)  2 Al 2.29
Al (0.0000, 0.0000, 0.0000)  4 Re 2.29, 2 Pb 2.55
Be (0.5000, 0.5000, 0.5000)  4 Pb 3.24, 8 Re 3.43



Compound: BeAl2RhPb
Source: Alexandria
Functional: PBE-GGA
Structure: relaxed

Summary:
- DFT total energy: -2.91 eV per atom
- SG: P4/mmm

Cell: 5.2479 5.0634 5.2479 Å, 90.00 90.00 90.00°
Closest atoms and distances in Å follow each position.
Atoms (fractional coordinates):
Pb (0.0000, 0.0000, 0.0000)  2 Rh 2.53, 4 Al 2.62
Be (0.5000, 0.5000, 0.5000)  8 Al 3.65, 4 Rh 3.71
Rh (0.0000, 0.5000, 0.0000)  2 Pb 2.53
Al (0.0000, 0.0000, 0.5000)  2 Pb 2.62
Al (0.5000, 0.0000, 0.0000)  2 Pb 2.62



Compound: Be2AlPbSe
Source: Alexandria
Functional: PBE-GGA
Structure: relaxed

Summary:
- ΔE_f (raw): 702 meV/atom
- Relative energy among the computed polymorphs: 0 meV per atom
- SG: P4/mmm

Cell: 4.3929 5.3459 4.3929 Å, 90.00 90.00 90.00°
Closest atoms and distances in Å follow each position.
Atoms (fractional coordinates):
Pb (0.5000, 0.5000, 0.5000)  4 Al 3.11, 8 Be 3.46
Be (0.0000, 0.0000, 0.5000)  2 Se 2.20
Be (0.5000, 0.0000, 0.0000)  2 Se 2.20
Al (0.0000, 0.5000, 0.0000)  2 Se 2.67
Se (0.0000, 0.0000, 0.0000)  4 Be 2.20